DFT (PBE-GGA) results for a relaxed SmRe4C2 crystal.

Calculated values
D(E_F) (states/eV per cell): 2.5
Final energy (eV per atom): -10.27
Mass density (Mg/m³): 14.06
Total magnetic moment (μB/atom): 0.00

abc: 7.2235 7.2235 3.9478
angles: 90.00 90.00 148.18
With the nearest neighbours (Å) after each atom.
Fractional positions:
Sm 0.0000 0.0000 0.0000  8 Re 3.16-3.25, 8 C 3.33
Re 0.1772 0.8228 0.5000  2 C 2.08
Re 0.3144 0.6856 0.0000  2 C 2.12
Re 0.6856 0.3144 0.0000  2 C 2.12
Re 0.8228 0.1772 0.5000  2 C 2.08
C 0.3692 0.6308 0.5000  4 Re 2.08-2.12
C 0.6308 0.3692 0.5000  4 Re 2.08-2.12